The following is a GGA-PBE calculation of a relaxed UTcNiRu crystal, from Alexandria via LeMat-Bulk.

```
UTcNiRu
1.0
3.757 0.000 0.000
0.000 4.045 0.000
0.000 0.000 4.056
U Tc Ni Ru
1 1 1 1
Cartesian
1.878 0.000 2.028 U
0.000 2.023 2.028 Tc
1.878 2.023 0.000 Ni
0.000 0.000 0.000 Ru
```

Results
Raw total energy: -9.451 eV/atom
Calculated formation energy: -0.274 eV per atom

The following is a GGA-PBE calculation of a relaxed MgIr2Rh crystal, from Alexandria via LeMat-Bulk.

```
MgIr2Rh
1.0
-4.005 -4.908 -6.471
-1.652 -6.363 -6.227
-3.784 -6.873 -4.521
Rh Ir Mg
1 2 1
Cartesian
-7.081 -13.608 -12.914 Rh
-4.712 -9.056 -8.594 Ir
-0.008 -0.016 -0.015 Ir
-2.360 -4.536 -4.305 Mg
```

Results
Raw total energy: -6.715 eV/atom
Calculated formation energy: -0.048 eV per atom

The following is a GGA-PBE calculation of a relaxed ScZn6Cu12 crystal, from Alexandria via LeMat-Bulk.

```
ScZn6Cu12
1.0
6.754 0.023 0.032
-1.652 6.549 0.032
-1.652 -2.128 6.194
Cu Zn Sc
12 6 1
Cartesian
1.725 -1.156 5.528 Cu
-0.432 1.584 2.231 Cu
-1.547 1.385 5.528 Cu
4.998 3.059 0.731 Cu
3.882 2.860 4.027 Cu
-1.547 4.763 3.129 Cu
1.808 2.329 5.547 Cu
1.642 -0.026 2.231 Cu
1.725 5.600 0.731 Cu
1.808 4.470 4.027 Cu
4.998 -0.319 3.129 Cu
1.642 2.115 0.711 Cu
-0.293 3.137 4.417 Zn
0.339 3.950 1.841 Zn
0.339 0.436 4.337 Zn
3.743 1.307 1.841 Zn
3.111 4.008 1.922 Zn
3.111 0.494 4.417 Zn
0.000 0.000 0.000 Sc
```

Results
Raw total energy: -3.251 eV/atom
Calculated formation energy: 0.071 eV per atom

The following is a GGA-PBE calculation of a relaxed Ba5Ag crystal, from Alexandria via LeMat-Bulk.

```
Ba5Ag
1.0
-6.957 -3.003 1.327
5.554 -0.679 5.280
-2.156 6.358 3.085
Ba Ag
5 1
Cartesian
1.383 -1.454 3.962 Ba
1.699 2.840 4.183 Ba
-1.780 1.338 4.846 Ba
-4.556 1.678 2.206 Ba
-2.787 -2.228 2.645 Ba
0.000 0.000 0.000 Ag
```

Results
Raw total energy: -1.615 eV/atom
Calculated formation energy: 0.462 eV per atom

The following is a GGA-PBE calculation of a relaxed CaEr2P crystal, from Alexandria via LeMat-Bulk.

```
CaEr2P
1.0
-1.322 0.080 3.555
0.735 -2.876 2.362
8.223 3.707 5.000
Er P Ca
2 1 1
Cartesian
2.307 -1.201 6.958 Er
5.329 2.112 3.959 Er
3.818 0.456 5.458 P
0.000 0.000 0.000 Ca
```

Results
Raw total energy: -4.718 eV/atom
Calculated formation energy: -0.584 eV per atom

The following is a GGA-PBE calculation of a relaxed CePrIn crystal, from Alexandria via LeMat-Bulk.

```
CePrIn
1.0
-3.066 -3.280 -3.310
5.046 -0.148 -4.527
3.668 -7.811 4.344
Pr In Ce
4 4 4
Cartesian
4.547 -4.186 -2.413 Pr
1.101 -7.054 -1.079 Pr
0.801 -1.508 -1.597 Pr
4.846 -9.731 -1.895 Pr
2.324 -9.659 0.369 In
3.623 -7.127 -3.343 In
3.324 -1.581 -3.862 In
2.025 -4.113 -0.149 In
1.141 -4.487 -3.659 Ce
4.507 -6.752 0.167 Ce
1.985 -6.679 2.431 Ce
3.663 -4.561 -5.923 Ce
```

Results
Raw total energy: -4.773 eV/atom
Calculated formation energy: -0.289 eV per atom

Question: Which formula does entry 6 have?
Answer: CePrIn

Question: Among the records above, which one has the highest raw total energy?
Answer: Ba5Ag

Question: Number 5 is which compound?
Answer: CaEr2P